Computed, not measured: crystalline NaNdHoCd at its relaxed geometry at the GGA-PBE level of DFT.

- DFT total energy (eV/atom) = -2.866
- E_form (meV per atom) = 29
- total magnetization (μB per formula unit) = 0.720

Lattice parameters (Å, degrees): 7.728 7.728 7.728 90.00 90.00 90.00
Space group F-43m (No. 216)
Symmetry-distinct sites (fractional):
Na 0.000 0.000 0.000 [4 per cell]
Nd 0.250 0.250 0.750 [4 per cell]
Ho 0.250 0.250 0.250 [4 per cell]
Cd 0.000 0.000 0.500 [4 per cell]